(1)
DFT (PBE) results for a relaxed structure of YCd2Mo.

Raw total energy   -4.4050 eV/atom
Magnetization   0.71 μB/f.u.
Offset from the most stable computed form   179 meV per atom

Geometry as extended XYZ:
```
4
Lattice="1.6234 0.9373 9.8507 -1.6234 0.9373 9.8507 0.0000 -1.8746 9.8507" Properties=species:S:1:pos:R:3 pbc="T T T"
Y 0.0000 0.0000 0.0000
Cd 0.0000 0.0000 15.1438
Cd 0.0000 0.0000 22.4558
Mo 0.0000 0.0000 7.5655
```

---

(2)
DFT (PBE) results for a relaxed structure of PrDyRh2.

Raw total energy   -6.7358 eV/atom
Magnetization   0.00 μB/f.u.

Geometry as extended XYZ:
```
4
Lattice="3.4518 0.0000 0.0000 0.0000 3.4518 0.0000 0.0000 0.0000 7.1830" Properties=species:S:1:pos:R:3 pbc="T T T"
Pr 0.0000 0.0000 0.0000
Dy 0.0000 0.0000 3.5915
Rh 1.7259 1.7259 1.9166
Rh 1.7259 1.7259 5.2665
```

---

(3)
DFT (PBE) results for a relaxed structure of Nd4YTl5.

Raw total energy   -4.1268 eV/atom
Magnetization   0.00 μB/f.u.

Geometry as extended XYZ:
```
10
Lattice="3.8395 0.0000 0.0000 0.0000 3.8395 0.0000 0.0000 0.0000 19.8800" Properties=species:S:1:pos:R:3 pbc="T T T"
Nd 0.0000 0.0000 2.0174
Nd 0.0000 0.0000 6.0603
Nd 0.0000 0.0000 13.8197
Nd 0.0000 0.0000 17.8627
Y 0.0000 0.0000 9.9400
Tl 1.9197 1.9197 0.0000
Tl 1.9197 1.9197 4.0445
Tl 1.9197 1.9197 8.0860
Tl 1.9197 1.9197 11.7940
Tl 1.9197 1.9197 15.8355
```

---

Number 1: formation enthalpy at 0 K 376 meV/atom. Number 2: formation enthalpy at 0 K -715 meV/atom. Number 3: formation enthalpy at 0 K -390 meV/atom.